HfTcP2 after structural relaxation, computed with PBE.

density of states at the Fermi level = 2.58 states/eV/f.u.
polymorph energy (0 for the lowest one) = 0.369 eV/atom
calculated formation energy = -25.5 kJ/mol of atoms
space group = I-42d

a = 5.0932 Å, b = 5.0932 Å, c = 7.3076 Å
α = 69.61°, β = 69.61°, γ = 90.00°
Element x y z (fractional)
P: 0.5764 0.1250 0.2500
P: 0.1736 0.6250 0.2500
P: 0.3750 0.4236 0.7500
P: 0.8750 0.8264 0.7500
Hf: 0.0000 0.0000 0.0000
Hf: 0.7500 0.2500 0.5000
Tc: 0.5000 0.5000 0.0000
Tc: 0.2500 0.7500 0.5000